# Re3BH

A relaxed Re3BH crystal (PBE, the Alexandria database).

a b c (Å): 3.837 3.837 3.837
angles (deg): 90.00 90.00 90.00
Fractional positions:
1 Re 0.000 0.000 0.500
2 Re 0.000 0.500 0.000
3 Re 0.500 0.000 0.000
4 B 0.500 0.500 0.500
5 H 0.000 0.000 0.000

Results
The energy above the most stable polymorph in this dataset is 0.00 eV per formula unit. As for the symmetry: Pm-3m (221).